Entry 1:
The following is a PBE-GGA calculation of an optimized crystal structure of Np2ZnSn, from the Alexandria database.

Values from the calculation:
crystal system	tetragonal
formation energy from the elements	0.167	eV/atom
VASP energy	-7.623	eV/atom
volume	94	Å³/cell
Fermi-level density of states	11.2	states/eV/cell

Cell: 2.844 5.743 5.743 Å, 90.00 90.00 90.00°
Atoms (fractional coordinates):
Zn 0.500 0.000 0.000
Sn 0.500 0.500 0.500
Np 0.000 0.500 0.000
Np 0.000 0.000 0.500

Entry 2:
The following is a PBE-GGA calculation of an optimized crystal structure of ZrNpSn2, from the Alexandria database.

Values from the calculation:
crystal system	trigonal
formation energy from the elements	0.208	eV/atom
VASP energy	-7.166	eV/atom
volume	99	Å³/cell
Fermi-level density of states	5.9	states/eV/cell

Cell: 3.153 3.153 11.690 Å, 82.25 82.25 60.00°
Atoms (fractional coordinates):
Sn 0.914 0.914 0.258
Sn 0.086 0.086 0.742
Np 0.500 0.500 0.500
Zr 0.000 0.000 0.000

Entry 3:
The following is a PBE-GGA calculation of an optimized crystal structure of ZrNpSn2, from the Alexandria database.

Values from the calculation:
crystal system	tetragonal
formation energy from the elements	-0.147	eV/atom
VASP energy	-7.521	eV/atom
volume	97	Å³/cell
Fermi-level density of states	10.2	states/eV/cell

Cell: 3.833 3.833 6.614 Å, 90.00 90.00 90.00°
Atoms (fractional coordinates):
Sn 0.000 0.000 0.273
Sn 0.000 0.000 0.727
Zr 0.500 0.500 0.500
Np 0.500 0.500 0.000

Entry 4:
The following is a PBE-GGA calculation of an optimized crystal structure of Sr4Np, from the Alexandria database.

Values from the calculation:
crystal system	cubic
formation energy from the elements	0.863	eV/atom
VASP energy	-3.071	eV/atom
volume	272	Å³/cell
Fermi-level density of states	15.5	states/eV/cell

Cell: 6.483 6.483 6.483 Å, 90.00 90.00 90.00°
Atoms (fractional coordinates):
Sr 0.000 0.500 0.500
Sr 0.000 0.000 0.000
Sr 0.500 0.500 0.000
Sr 0.500 0.000 0.500
Np 0.500 0.500 0.500